Entry 1:
A PBEsol-optimized structure of TiMnGe3. Source: Alexandria, functional meta-GGA SCAN.

Unit cell a=4.4972 b=4.4972 c=4.4972 alpha=90.00 beta=90.00 gamma=90.00
Closest atoms and distances in Å follow each position.
Fractional coordinates of all 5 atoms:
Ti (0.5000, 0.5000, 0.5000)  12 Ge 3.18
Ge (0.0000, 0.5000, 0.0000)  2 Mn 2.25
Ge (0.0000, 0.0000, 0.5000)  2 Mn 2.25
Ge (0.5000, 0.0000, 0.0000)  2 Mn 2.25
Mn (0.0000, 0.0000, 0.0000)  6 Ge 2.25

The symmetry is Pm-3m (221). The calculation puts the formation enthalpy at 0 K at 0.38 eV per atom.

Entry 2:
A PBEsol-optimized structure of TlPt3W. Source: Alexandria, functional meta-GGA SCAN.

Unit cell a=4.8486 b=4.8486 c=4.8486 alpha=90.00 beta=90.00 gamma=90.00
Closest atoms and distances in Å follow each position.
Fractional coordinates of all 5 atoms:
Pt (0.0000, 0.5000, 0.0000)  2 W 2.42
Pt (0.5000, 0.0000, 0.0000)  2 W 2.42
Pt (0.0000, 0.0000, 0.5000)  2 W 2.42
W (0.0000, 0.0000, 0.0000)  6 Pt 2.42
Tl (0.5000, 0.5000, 0.5000)  12 Pt 3.43

The symmetry is Pm-3m (221). The calculation puts the relative energy among the computed polymorphs at 0 meV per atom. The calculation puts the formation enthalpy at 0 K at 0.92 eV per atom.

Entry 3:
A PBEsol-optimized structure of Ag4TeMo. Source: Alexandria, functional meta-GGA SCAN.

Unit cell a=5.4301 b=5.4301 c=5.4301 alpha=60.00 beta=60.00 gamma=60.00
Closest atoms and distances in Å follow each position.
Fractional coordinates of all 6 atoms:
Ag (0.8735, 0.3755, 0.3755)  6 Ag 2.70-2.73
Ag (0.3755, 0.3755, 0.3755)  6 Ag 2.70-2.73
Ag (0.3755, 0.8735, 0.3755)  6 Ag 2.70-2.73
Ag (0.3755, 0.3755, 0.8735)  6 Ag 2.70-2.73
Mo (0.7500, 0.7500, 0.7500)  12 Ag 3.18, 4 Te 3.33
Te (0.0000, 0.0000, 0.0000)  12 Ag 3.18, 4 Mo 3.33

The calculation puts the raw formation energy at 0.49 eV/atom. The symmetry is F-43m (216).

Entry 4:
A PBEsol-optimized structure of Cs3ScF6. Source: Alexandria, functional meta-GGA SCAN.

Unit cell a=6.6283 b=6.6283 c=9.7378 alpha=90.00 beta=90.00 gamma=90.00
Closest atoms and distances in Å follow each position.
Fractional coordinates of all 20 atoms:
F (0.2741, 0.8657, 0.0000)  1 Sc 2.02
F (0.8657, 0.7259, 0.0000)  1 Sc 2.02
F (0.1343, 0.2741, 0.0000)  1 Sc 2.02
F (0.0000, 0.0000, 0.7917)  1 Sc 2.03
F (0.7741, 0.6343, 0.5000)  1 Sc 2.02
F (0.5000, 0.5000, 0.2917)  1 Sc 2.03
F (0.7259, 0.1343, 0.0000)  1 Sc 2.02
F (0.2259, 0.3657, 0.5000)  1 Sc 2.02
F (0.6343, 0.2259, 0.5000)  1 Sc 2.02
F (0.0000, 0.0000, 0.2083)  1 Sc 2.03
F (0.5000, 0.5000, 0.7083)  1 Sc 2.03
F (0.3657, 0.7741, 0.5000)  1 Sc 2.02
Cs (0.0000, 0.5000, 0.2500)  8 F 2.99-3.34
Cs (0.5000, 0.5000, 0.0000)  6 F 2.84-2.85
Cs (0.5000, 0.0000, 0.7500)  8 F 2.99-3.34
Cs (0.0000, 0.5000, 0.7500)  8 F 2.99-3.34
Cs (0.0000, 0.0000, 0.5000)  6 F 2.84-2.85
Cs (0.5000, 0.0000, 0.2500)  8 F 2.99-3.34
Sc (0.5000, 0.5000, 0.5000)  6 F 2.02-2.03
Sc (0.0000, 0.0000, 0.0000)  6 F 2.02-2.03

The calculation puts the raw formation energy at -3.51 eV/atom. The symmetry is P4/mnc (128).

Entry 5:
A PBEsol-optimized structure of Ba4NaIr3O12. Source: Alexandria, functional meta-GGA SCAN.

Unit cell a=7.0626 b=7.0626 c=7.0626 alpha=109.47 beta=109.47 gamma=109.47
Closest atoms and distances in Å follow each position.
Fractional coordinates of all 20 atoms:
O (0.2681, 0.0000, 0.2681)  1 Ir 1.89
O (0.7500, 0.5000, 0.2500)  2 Ir 2.04
O (0.2500, 0.7500, 0.5000)  2 Ir 2.04
O (0.5000, 0.2500, 0.7500)  2 Ir 2.04
O (0.7319, 0.7319, 0.0000)  1 Ir 1.89
O (0.2500, 0.5000, 0.7500)  2 Ir 2.04
O (0.0000, 0.7319, 0.7319)  1 Ir 1.89
O (0.0000, 0.2681, 0.2681)  1 Ir 1.89
O (0.7500, 0.2500, 0.5000)  2 Ir 2.04
O (0.5000, 0.7500, 0.2500)  2 Ir 2.04
O (0.7319, 0.0000, 0.7319)  1 Ir 1.89
O (0.2681, 0.2681, 0.0000)  1 Ir 1.89
Ba (0.5000, 0.0000, 0.0000)  12 O 2.88-2.89
Ba (0.0000, 0.5000, 0.0000)  12 O 2.88-2.89
Ba (0.5000, 0.5000, 0.5000)  12 O 2.88-2.89
Ba (0.0000, 0.0000, 0.5000)  12 O 2.88-2.89
Ir (0.5000, 0.5000, 0.0000)  6 O 1.89-2.04
Ir (0.5000, 0.0000, 0.5000)  6 O 1.89-2.04
Ir (0.0000, 0.5000, 0.5000)  6 O 1.89-2.04
Na (0.0000, 0.0000, 0.0000)  6 O 2.19

The calculation puts the raw formation energy at -1.86 eV/atom. The symmetry is Im-3m (229).

Entry 6:
A PBEsol-optimized structure of AsP2Ir. Source: Alexandria, functional meta-GGA SCAN.

Unit cell a=2.8091 b=2.8091 c=8.9069 alpha=90.00 beta=90.00 gamma=118.35
Closest atoms and distances in Å follow each position.
Fractional coordinates of all 4 atoms:
Ir (0.5000, 0.5000, 0.2302)  2 P 2.46, 2 As 2.57
As (0.0000, 0.0000, 0.4694)  2 Ir 2.57, 6 As 2.81-2.88
P (0.0000, 0.0000, 0.0057)  2 P 2.37, 2 Ir 2.46
P (0.5000, 0.5000, 0.7947)  2 P 2.37

The symmetry is Cmm2 (35). The calculation puts the formation enthalpy at 0 K at 0.52 eV per atom.

Entry 7:
A PBEsol-optimized structure of Ni2Mo4N. Source: Alexandria, functional meta-GGA SCAN.

Unit cell a=7.8642 b=7.8642 c=7.8642 alpha=60.00 beta=60.00 gamma=60.00
Closest atoms and distances in Å follow each position.
Fractional coordinates of all 28 atoms:
Ni (0.8337, 0.8337, 0.8337)  6 Mo 2.41-2.63, 3 Ni 2.63
Ni (0.8337, 0.8337, 0.4989)  6 Mo 2.41-2.63, 3 Ni 2.63
Ni (0.7511, 0.4163, 0.4163)  6 Mo 2.41-2.63, 3 Ni 2.63
Ni (0.4163, 0.4163, 0.4163)  6 Mo 2.41-2.63, 3 Ni 2.63
Ni (0.4989, 0.8337, 0.8337)  6 Mo 2.41-2.63, 3 Ni 2.63
Ni (0.8337, 0.4989, 0.8337)  6 Mo 2.41-2.63, 3 Ni 2.63
Ni (0.4163, 0.4163, 0.7511)  6 Mo 2.41-2.63, 3 Ni 2.63
Ni (0.4163, 0.7511, 0.4163)  6 Mo 2.41-2.63, 3 Ni 2.63
Mo (0.4426, 0.4426, 0.0574)  2 N 2.10
Mo (0.6250, 0.1250, 0.6250)  6 Ni 2.41
Mo (0.4426, 0.0574, 0.0574)  2 N 2.10
Mo (0.6250, 0.6250, 0.1250)  6 Ni 2.41
Mo (0.1926, 0.1926, 0.8074)  2 N 2.10
Mo (0.0574, 0.0574, 0.4426)  2 N 2.10
Mo (0.8074, 0.8074, 0.1926)  2 N 2.10
Mo (0.8074, 0.1926, 0.1926)  2 N 2.10
Mo (0.1250, 0.6250, 0.6250)  6 Ni 2.41
Mo (0.6250, 0.6250, 0.6250)  6 Ni 2.41
Mo (0.0574, 0.4426, 0.4426)  2 N 2.10
Mo (0.1926, 0.8074, 0.1926)  2 N 2.10
Mo (0.8074, 0.1926, 0.8074)  2 N 2.10
Mo (0.1926, 0.8074, 0.8074)  2 N 2.10
Mo (0.4426, 0.0574, 0.4426)  2 N 2.10
Mo (0.0574, 0.4426, 0.0574)  2 N 2.10
N (0.1250, 0.6250, 0.1250)  6 Mo 2.10
N (0.6250, 0.1250, 0.1250)  6 Mo 2.10
N (0.1250, 0.1250, 0.1250)  6 Mo 2.10
N (0.1250, 0.1250, 0.6250)  6 Mo 2.10

The calculation puts the raw formation energy at -0.20 eV/atom. The symmetry is Fd-3m (227).

Entry 8:
A PBEsol-optimized structure of BeIr. Source: Alexandria, functional meta-GGA SCAN.

Unit cell a=2.7253 b=2.7253 c=3.5134 alpha=90.00 beta=90.00 gamma=120.00
Closest atoms and distances in Å follow each position.
Fractional coordinates of all 2 atoms:
Ir (0.6667, 0.3333, 0.5000)  6 Be 2.36
Be (0.0000, 0.0000, 0.0000)  6 Ir 2.36

The symmetry is P-6m2 (187). The calculation puts the formation enthalpy at 0 K at -0.60 eV per atom.

Entry 9:
A PBEsol-optimized structure of Sc2ZnCo. Source: Alexandria, functional meta-GGA SCAN.

Unit cell a=3.2131 b=3.2131 c=8.0495 alpha=78.49 beta=78.49 gamma=60.00
Closest atoms and distances in Å follow each position.
Fractional coordinates of all 4 atoms:
Co (0.0000, 0.0000, 0.0000)  6 Sc 2.52
Sc (0.7391, 0.7391, 0.7828)  3 Co 2.52
Sc (0.2609, 0.2609, 0.2172)  3 Co 2.52
Zn (0.5000, 0.5000, 0.5000)  6 Sc 2.89, 6 Zn 3.21

The symmetry is R-3m (166). The calculation puts the formation enthalpy at 0 K at -0.02 eV per atom.

Entry 10:
A PBEsol-optimized structure of TeRuS2. Source: Alexandria, functional meta-GGA SCAN.

Unit cell a=6.0393 b=6.0393 c=6.0393 alpha=97.89 beta=115.55 gamma=115.55
Closest atoms and distances in Å follow each position.
Fractional coordinates of all 8 atoms:
Te (0.5000, 0.7500, 0.2500)  4 S 2.80
Te (0.0000, 0.0000, 0.0000)  4 S 2.80
S (0.9291, 0.5541, 0.1250)  2 Ru 2.21
S (0.0709, 0.1959, 0.6250)  2 Ru 2.21
S (0.5709, 0.3750, 0.4459)  2 Ru 2.21
S (0.4291, 0.8750, 0.8041)  2 Ru 2.21
Ru (0.5000, 0.2500, 0.7500)  4 S 2.21
Ru (0.0000, 0.5000, 0.5000)  4 S 2.21

The calculation puts the raw formation energy at 0.13 eV/atom. The symmetry is I-42d (122).

Entry 11:
A PBEsol-optimized structure of BeAlAsBr2. Source: Alexandria, functional meta-GGA SCAN.

Unit cell a=4.7529 b=4.6798 c=4.6798 alpha=90.00 beta=90.00 gamma=90.00
Closest atoms and distances in Å follow each position.
Fractional coordinates of all 5 atoms:
Br (0.0000, 0.5000, 0.0000)  2 Be 2.34
Br (0.0000, 0.0000, 0.5000)  2 Be 2.34
Be (0.0000, 0.0000, 0.0000)  4 Br 2.34, 2 As 2.38
Al (0.5000, 0.5000, 0.5000)  4 As 3.31, 8 Br 3.34
As (0.5000, 0.0000, 0.0000)  2 Be 2.38

The calculation puts the raw formation energy at 0.21 eV/atom. The symmetry is P4/mmm (123).

Computed total magnetic moment (μB/f.u.) in order:
4.04, 0.00, 4.01, 0.24, 5.95, 0.00, 0.00, 0.00, 0.00, 0.00, 0.00
Computed calculated volume (Å³ per cell) in order:
91.0, 114.0, 113.2, 427.8, 271.2, 61.9, 343.9, 22.6, 70.0, 164.5, 104.1
Computed electronic total energy (eV/cell) in order:
-89.644, -348.031, -194.661, -368.035, -487.598, -110.020, -730.295, -76.656, -59.390, -181.607, -70.148